Entry 1:
## MgTl2TeOs (PBE-GGA)

Data for crystalline MgTl2TeOs at its relaxed geometry.

Lattice parameters (Å, degrees): 6.3360 6.3360 5.1477 90.00 90.00 90.00
Last column: nearest neighbours and their distance in Å.
Fractional positions:
Mg  0.0000  0.0000  0.0000  2 Te 2.57
Tl  0.0000  0.5000  0.5000  2 Te 3.17
Tl  0.5000  0.0000  0.5000  2 Te 3.17
Te  0.0000  0.0000  0.5000  2 Mg 2.57
Os  0.5000  0.5000  0.0000  8 Tl 4.08, 4 Mg 4.48

Output
Formation energy without anion corrections: 1.51 eV per atom

=====

Entry 2:
## Ba2TaCuN (PBE-GGA)

Data for crystalline Ba2TaCuN at its relaxed geometry.

Lattice parameters (Å, degrees): 5.8962 5.8962 4.0308 90.00 90.00 90.00
Last column: nearest neighbours and their distance in Å.
Fractional positions:
Ba  0.0000  0.5000  0.0000  2 N 2.95
Ba  0.5000  0.0000  0.0000  2 N 2.95
Ta  0.0000  0.0000  0.5000  2 N 2.02
Cu  0.5000  0.5000  0.5000  8 Ba 3.57
N  0.0000  0.0000  0.0000  2 Ta 2.02

Output
Formation energy without anion corrections: 0.00 eV per atom

=====

Entry 3:
## ThZnN2 (PBE-GGA)

Data for crystalline ThZnN2 at its relaxed geometry.

Lattice parameters (Å, degrees): 3.7881 6.1408 6.2381 75.74 89.99 72.11
Last column: nearest neighbours and their distance in Å.
Fractional positions:
Th  0.1979  0.1044  0.2231  6 N 2.40-2.61
Th  0.8021  0.8956  0.7769  6 N 2.40-2.61
Zn  0.4699  0.5613  0.2906  2 N 1.89-1.95
Zn  0.5301  0.4387  0.7094  2 N 1.89-1.95
N  0.3476  0.8040  0.0241  1 Zn 1.89
N  0.3641  0.7711  0.5432  1 Zn 1.95
N  0.6359  0.2289  0.4568  1 Zn 1.95
N  0.6524  0.1960  0.9759  1 Zn 1.89

Output
Formation energy without anion corrections: -0.87 eV per atom

=====

Entry 4:
## HoPa2Sn (PBE-GGA)

Data for crystalline HoPa2Sn at its relaxed geometry.

Lattice parameters (Å, degrees): 5.3180 5.3180 5.3180 60.00 60.00 60.00
Last column: nearest neighbours and their distance in Å.
Fractional positions:
Ho  0.0000  0.0000  0.0000  8 Pa 3.26
Pa  0.2500  0.2500  0.2500  4 Sn 3.26, 4 Ho 3.26
Pa  0.7500  0.7500  0.7500  4 Sn 3.26, 4 Ho 3.26
Sn  0.5000  0.5000  0.5000  8 Pa 3.26

Output
E_form: 23 kJ/mol of atoms
E above lowest polymorph: 42.0 kJ per mole of atoms

=====

Entry 5:
## Ca2CuBiO5 (PBE-GGA)

Data for crystalline Ca2CuBiO5 at its relaxed geometry.

Lattice parameters (Å, degrees): 6.7290 6.7290 11.8565 90.00 90.00 149.59
Last column: nearest neighbours and their distance in Å.
Fractional positions:
Ca  0.0873  0.9127  0.5000  5 O 2.28-2.50
Ca  0.1681  0.8319  0.0714  3 O 2.27-2.33
Ca  0.8319  0.1681  0.5714  3 O 2.27-2.33
Ca  0.9127  0.0873  0.0000  5 O 2.28-2.50
Cu  0.2584  0.7416  0.8646  4 O 1.87-1.94
Cu  0.7416  0.2584  0.3646  4 O 1.87-1.94
Bi  0.4541  0.5459  0.2546  5 O 2.17-2.27
Bi  0.5459  0.4541  0.7546  5 O 2.17-2.27
O  0.1103  0.8897  0.8481  1 Cu 1.93
O  0.2518  0.7482  0.4323  2 Cu 1.94
O  0.3364  0.6636  0.1241  1 Bi 2.17, 1 Ca 2.27
O  0.4020  0.5980  0.8630  1 Cu 1.87
O  0.4459  0.5541  0.5988  1 Bi 2.26, 2 Ca 2.33
O  0.5541  0.4459  0.0988  1 Bi 2.26, 2 Ca 2.33
O  0.5980  0.4020  0.3630  1 Cu 1.87
O  0.6636  0.3364  0.6241  1 Bi 2.17, 1 Ca 2.27
O  0.7482  0.2518  0.9323  2 Cu 1.94
O  0.8897  0.1103  0.3481  1 Cu 1.93

Output
Formation energy without anion corrections: -1.67 eV per atom

=====

Entry 6:
## Na3Tl5Br8 (PBE-GGA)

Data for crystalline Na3Tl5Br8 at its relaxed geometry.

Lattice parameters (Å, degrees): 9.2429 9.2429 9.2429 59.31 59.31 59.31
Last column: nearest neighbours and their distance in Å.
Fractional positions:
Na  0.0000  0.5000  0.5000  6 Br 3.10-3.13
Na  0.5000  0.0000  0.5000  6 Br 3.10-3.13
Na  0.5000  0.5000  0.0000  6 Br 3.10-3.13
Tl  0.0000  0.0000  0.0000  6 Br 3.26
Tl  0.0000  0.0000  0.5000  6 Br 3.38-3.41
Tl  0.0000  0.5000  0.0000  6 Br 3.38-3.41
Tl  0.5000  0.0000  0.0000  6 Br 3.38-3.41
Tl  0.5000  0.5000  0.5000  6 Br 3.26
Br  0.2501  0.2501  0.7269  2 Na 3.10, 4 Tl 3.26-3.41
Br  0.2501  0.7269  0.2501  2 Na 3.10, 4 Tl 3.26-3.41
Br  0.2597  0.2597  0.2597  3 Na 3.13, 3 Tl 3.38
Br  0.2731  0.7499  0.7499  2 Na 3.10, 4 Tl 3.26-3.41
Br  0.7269  0.2501  0.2501  2 Na 3.10, 4 Tl 3.26-3.41
Br  0.7403  0.7403  0.7403  3 Na 3.13, 3 Tl 3.38
Br  0.7499  0.2731  0.7499  2 Na 3.10, 4 Tl 3.26-3.41
Br  0.7499  0.7499  0.2731  2 Na 3.10, 4 Tl 3.26-3.41

Output
Formation energy without anion corrections: -1.11 eV per atom

=====

Entry 7:
## RbPd3Rh (PBE-GGA)

Data for crystalline RbPd3Rh at its relaxed geometry.

Lattice parameters (Å, degrees): 5.0092 5.0092 5.0092 90.00 90.00 90.00
Last column: nearest neighbours and their distance in Å.
Fractional positions:
Rb  0.0000  0.0000  0.0000  6 Pd 2.50
Pd  0.0000  0.0000  0.5000  2 Rb 2.50
Pd  0.0000  0.5000  0.0000  2 Rb 2.50
Pd  0.5000  0.0000  0.0000  2 Rb 2.50
Rh  0.5000  0.5000  0.5000  12 Pd 3.54

Output
E_form: 187 kJ/mol of atoms
E above lowest polymorph: 121.8 kJ per mole of atoms

=====

Entry 8:
## Pm2ZnSnO6 (PBE-GGA)

Data for crystalline Pm2ZnSnO6 at its relaxed geometry.

Lattice parameters (Å, degrees): 5.5482 5.8463 9.7053 90.00 124.03 90.00
Last column: nearest neighbours and their distance in Å.
Fractional positions:
Pm  0.2276  0.0644  0.2484  5 O 2.33-2.59
Pm  0.2276  0.4356  0.7484  5 O 2.33-2.59
Pm  0.7724  0.5644  0.2516  5 O 2.33-2.59
Pm  0.7724  0.9356  0.7516  5 O 2.33-2.59
Zn  0.0000  0.0000  0.5000  6 O 2.13-2.17
Zn  0.0000  0.5000  0.0000  6 O 2.13-2.17
Sn  0.5000  0.0000  0.0000  6 O 2.08-2.11
Sn  0.5000  0.5000  0.5000  6 O 2.08-2.11
O  0.1391  0.1930  0.9417  1 Sn 2.08, 1 Zn 2.15
O  0.1391  0.3070  0.4417  1 Sn 2.08, 1 Zn 2.15
O  0.2449  0.7017  0.9365  1 Sn 2.11, 1 Zn 2.13, 1 Pm 2.36
O  0.2449  0.7983  0.4365  1 Sn 2.11, 1 Zn 2.13, 1 Pm 2.36
O  0.3720  0.0455  0.7540  1 Sn 2.09, 1 Zn 2.17, 1 Pm 2.33
O  0.3720  0.4545  0.2540  1 Sn 2.09, 1 Zn 2.17, 1 Pm 2.33
O  0.6280  0.5455  0.7460  1 Sn 2.09, 1 Zn 2.17, 1 Pm 2.33
O  0.6280  0.9545  0.2460  1 Sn 2.09, 1 Zn 2.17, 1 Pm 2.33
O  0.7551  0.2017  0.5635  1 Sn 2.11, 1 Zn 2.13, 1 Pm 2.36
O  0.7551  0.2983  0.0635  1 Sn 2.11, 1 Zn 2.13, 1 Pm 2.36
O  0.8609  0.6930  0.5583  1 Sn 2.08, 1 Zn 2.15
O  0.8609  0.8070  0.0583  1 Sn 2.08, 1 Zn 2.15

Output
Formation energy without anion corrections: -2.49 eV per atom